The following is a DFT calculation (PBE+U) of a geometry-optimized NaP2WO8 structure.

Unit cell a=5.5192 b=5.5192 c=5.5192 alpha=105.71 beta=105.71 gamma=117.28
Positions (direct):
1 Na 0.0000 0.0000 0.0000
2 P 0.5000 0.5000 0.0000
3 P 0.7500 0.2500 0.5000
4 W 0.2500 0.7500 0.5000
5 O 0.3418 0.1529 0.8111
6 O 0.3418 0.5306 0.1889
7 O 0.3961 0.0685 0.3276
8 O 0.4694 0.6582 0.8111
9 O 0.7409 0.0685 0.6724
10 O 0.8471 0.6582 0.1889
11 O 0.9315 0.2591 0.3276
12 O 0.9315 0.6039 0.6724

## Properties
total moment	1.0	μB/cell
final energy	-83.48	eV per cell